# P3RhF | Alexandria via LeMat-Bulk | PBE | relaxed
data_P3RhF
_cell_length_a 4.587
_cell_length_b 4.587
_cell_length_c 4.587
_cell_angle_alpha 90.00
_cell_angle_beta 90.00
_cell_angle_gamma 90.00
_symmetry_space_group_name_H-M 'P m -3 m'
_symmetry_Int_Tables_number 221
_symmetry_space_group_name_Hall '-P 4 2 3'
loop_
_atom_site_label
_atom_site_type_symbol
_atom_site_fract_x
_atom_site_fract_y
_atom_site_fract_z
P1 P 0.000 0.000 0.500
Rh1 Rh 0.000 0.000 0.000
F1 F 0.500 0.500 0.500
# - VASP energy (eV for the cell shown) = -22.8



# ZrCo2BMo | Alexandria via LeMat-Bulk | PBE | relaxed
data_ZrCo2BMo
_cell_length_a 3.921
_cell_length_b 3.921
_cell_length_c 4.258
_cell_angle_alpha 90.00
_cell_angle_beta 90.00
_cell_angle_gamma 90.00
_symmetry_space_group_name_H-M 'P 4/m m m'
_symmetry_Int_Tables_number 123
_symmetry_space_group_name_Hall '-P 4 2'
loop_
_atom_site_label
_atom_site_type_symbol
_atom_site_fract_x
_atom_site_fract_y
_atom_site_fract_z
Zr1 Zr 0.000 0.000 0.000
Co1 Co 0.000 0.500 0.500
B1 B 0.500 0.500 0.500
Mo1 Mo 0.500 0.500 0.000
# - VASP energy (eV for the cell shown) = -41.1
# - ΔH_f (0 K) (eV per atom) = -0.1720



# NdIBrO4 | Alexandria via LeMat-Bulk | PBE | relaxed
data_NdIBrO4
_cell_length_a 11.253
_cell_length_b 7.078
_cell_length_c 6.698
_cell_angle_alpha 90.00
_cell_angle_beta 93.66
_cell_angle_gamma 90.00
_symmetry_space_group_name_H-M 'C 1 2/m 1'
_symmetry_Int_Tables_number 12
loop_
_symmetry_equiv_pos_as_xyz
'x,y,z'
'-x,-y,-z'
'-x,y,-z'
'x,-y,z'
'x+1/2,y+1/2,z'
'-x+1/2,-y+1/2,-z'
'-x+1/2,y+1/2,-z'
'x+1/2,-y+1/2,z'
loop_
_atom_site_label
_atom_site_type_symbol
_atom_site_fract_x
_atom_site_fract_y
_atom_site_fract_z
Nd1 Nd 0.232 0.000 0.170
I1 I 0.124 0.000 0.665
Br1 Br 0.059 0.500 0.160
O1 O 0.043 0.000 0.244
O2 O 0.176 0.189 0.846
O3 O 0.226 0.500 0.477
# - VASP energy (eV for the cell shown) = -147.3



# SmDy2Si | Alexandria via LeMat-Bulk | PBE | relaxed
data_SmDy2Si
_cell_length_a 3.7502
_cell_length_b 3.7502
_cell_length_c 29.0831
_cell_angle_alpha 90.00
_cell_angle_beta 90.00
_cell_angle_gamma 120.00
_symmetry_space_group_name_H-M 'R 3 m'
_symmetry_Int_Tables_number 160
_symmetry_space_group_name_Hall 'R 3 -2"'
loop_
_atom_site_label
_atom_site_type_symbol
_atom_site_fract_x
_atom_site_fract_y
_atom_site_fract_z
Sm1 Sm 0.0000 0.0000 0.0000
Dy1 Dy 0.0000 0.0000 0.5622
Dy2 Dy 0.0000 0.0000 0.7687
Si1 Si 0.0000 0.0000 0.1652
# - VASP energy (eV for the cell shown) = -60.1